In2MoPd | PBE-GGA | optimized geometry

Crystal system: cubic
M_tot: 2.10 μB/f.u.

a b c (Å): 6.6634 6.6634 6.6634
angles (deg): 90.00 90.00 90.00
Last column: nearest neighbours and their distance in Å.
Space group F-43m (No. 216)
Unique sites:
In (0.0000, 0.0000, 0.0000) (multiplicity 4)  4 In 2.89, 4 Pd 2.89
In (0.2500, 0.2500, 0.2500) (multiplicity 4)  4 In 2.89, 4 Mo 2.89
Mo (0.0000, 0.0000, 0.5000) (multiplicity 4)  4 In 2.89, 4 Pd 2.89
Pd (0.2500, 0.2500, 0.7500) (multiplicity 4)  4 In 2.89, 4 Mo 2.89

LuAgNO | PBE-GGA | optimized geometry

Crystal system: tetragonal
E above lowest polymorph: 0.150 eV per atom
M_tot: 1.00 μB/f.u.

a b c (Å): 3.8034 3.8034 7.5029
angles (deg): 90.00 90.00 90.00
Last column: nearest neighbours and their distance in Å.
Space group P4/nmm (No. 129, origin choice 2)
Unique sites:
Lu (0.2500, 0.2500, 0.1396) (multiplicity 2)  4 O 2.17
Ag (0.2500, 0.7500, 0.5000) (multiplicity 2)  4 N 2.37
N (0.2500, 0.2500, 0.6878) (multiplicity 2)  4 Ag 2.37
O (0.2500, 0.7500, 0.0000) (multiplicity 2)  4 Lu 2.17

YZnB | PBE-GGA | optimized geometry

Crystal system: cubic
E above lowest polymorph: 0.000 eV per atom
M_tot: 0.00 μB/f.u.

a b c (Å): 5.8901 5.8901 5.8901
angles (deg): 90.00 90.00 90.00
Last column: nearest neighbours and their distance in Å.
Space group F-43m (No. 216)
Unique sites:
Y (0.0000, 0.0000, 0.0000) (multiplicity 4)  4 B 2.55
Zn (0.0000, 0.0000, 0.5000) (multiplicity 4)  4 B 2.55
B (0.2500, 0.2500, 0.2500) (multiplicity 4)  4 Zn 2.55, 4 Y 2.55

MgFeHgGe | PBE-GGA | optimized geometry

Crystal system: cubic
E above lowest polymorph: 0.000 eV per atom
M_tot: 2.36 μB/f.u.

a b c (Å): 6.5437 6.5437 6.5437
angles (deg): 90.00 90.00 90.00
Last column: nearest neighbours and their distance in Å.
Space group F-43m (No. 216)
Unique sites:
Mg (0.0000, 0.0000, 0.0000) (multiplicity 4)  4 Hg 2.83, 4 Ge 2.83
Fe (0.0000, 0.0000, 0.5000) (multiplicity 4)  4 Ge 2.83, 4 Hg 2.83
Hg (0.2500, 0.2500, 0.7500) (multiplicity 4)  4 Fe 2.83, 4 Mg 2.83
Ge (0.2500, 0.2500, 0.2500) (multiplicity 4)  4 Fe 2.83, 4 Mg 2.83

SmHoNp | PBE-GGA | optimized geometry

Crystal system: cubic
E above lowest polymorph: 0.000 eV per atom
Energy of formation: 1.1805 eV/atom
M_tot: 5.03 μB/f.u.

a b c (Å): 7.3545 7.3545 7.3545
angles (deg): 90.00 90.00 90.00
Last column: nearest neighbours and their distance in Å.
Space group F-43m (No. 216)
Unique sites:
Sm (0.0000, 0.0000, 0.0000) (multiplicity 4)  4 Ho 3.18
Ho (0.2500, 0.2500, 0.7500) (multiplicity 4)  4 Np 3.18, 4 Sm 3.18
Np (0.0000, 0.0000, 0.5000) (multiplicity 4)  4 Ho 3.18

ZnSeO3 | PBE-GGA | optimized geometry

Crystal system: orthorhombic

a b c (Å): 5.9059 7.6303 5.0588
angles (deg): 90.00 90.00 90.00
Last column: nearest neighbours and their distance in Å.
Space group Pnma (No. 62)
Unique sites:
Zn (0.0000, 0.0000, 0.0000) (multiplicity 4)  6 O 2.08-2.20
Se (0.0178, 0.2500, 0.4832) (multiplicity 4)  3 O 1.74-1.76
O (0.0770, 0.2500, 0.8211) (multiplicity 4)  1 Se 1.74
O (0.1829, 0.0763, 0.3610) (multiplicity 8)  1 Se 1.76

no.,E (eV/atom)
1,-5.045
2,-6.149
3,-4.985
4,-3.447
5,-6.172
6,-4.933